No. 1
Computed, not measured: a relaxed CsBi2Pt crystal at the PBE level of DFT.

Cell and atoms, written as POSCAR:
```
CsBi2Pt
1.0
3.722 0.000 0.000
0.000 3.722 0.000
0.000 0.000 9.055
Cs Bi Pt
1 2 1
direct
0.000 0.000 0.000
0.500 0.500 0.333
0.500 0.500 0.667
0.000 0.000 0.500
```

**E above lowest polymorph**: 25.2 kJ/mol of atoms
**ρ**: 9.9 g/cm³
**Volume**: 31.4 A^3/atom
**ΔE_f**: -0.070 eV/atom
**Symmetry**: P4/mmm, No. 123

No. 2
Computed, not measured: a relaxed Cs2BiPt crystal at the PBE level of DFT.

Cell and atoms, written as POSCAR:
```
Cs2BiPt
1.0
-6.708 6.708 2.597
6.708 -6.708 2.597
6.708 6.708 -2.597
Cs Bi Pt
4 2 2
direct
0.375 0.198 0.323
0.802 0.125 0.177
0.875 0.052 0.677
0.948 0.625 0.823
0.250 0.750 0.500
0.500 0.500 0.000
0.000 0.000 0.000
0.750 0.250 0.500
```

**E above lowest polymorph**: 9.7 kJ/mol of atoms
**ρ**: 4.8 g/cm³
**Volume**: 58.4 A^3/atom
**ΔE_f**: -0.185 eV/atom
**Symmetry**: I-42d, No. 122

Number 1: uncorrected energy -14.9 eV per cell. Number 2: uncorrected energy -24.7 eV per cell.